(1)
VASP calculation (GGA-PBE) on La4PmNdDy2 after structural relaxation.

Cell: 3.6887 6.3671 12.0619 Å, 79.83 90.00 90.00°
With the nearest neighbours (Å) after each atom.
Positions (direct):
La  0.5000  0.2476  0.7512  3 Dy 3.64-3.65, 1 Nd 3.65, 6 La 3.65-3.71, 2 Pm 3.67
La  0.0000  0.7533  0.7482  3 Dy 3.63-3.66, 1 Pm 3.64, 6 La 3.65-3.71, 2 Nd 3.67
La  0.0000  0.2467  0.2518  3 Dy 3.63-3.66, 1 Pm 3.64, 6 La 3.65-3.71, 2 Nd 3.67
La  0.5000  0.7524  0.2488  3 Dy 3.64-3.65, 1 Nd 3.65, 6 La 3.65-3.71, 2 Pm 3.67
Dy  0.5000  0.0000  0.5000  6 La 3.63-3.65, 4 Pm 3.68, 2 Dy 3.69
Dy  0.0000  0.0000  0.0000  6 La 3.64-3.66, 4 Nd 3.68, 2 Dy 3.69
Pm  0.0000  0.5000  0.5000  6 La 3.64-3.67, 4 Dy 3.68, 2 Pm 3.69
Nd  0.5000  0.5000  0.0000  6 La 3.65-3.67, 4 Dy 3.68, 2 Nd 3.69

- Electronic total energy: -4.794 eV per atom
- Formation energy from the elements: 0.01 eV/atom

=====

(2)
VASP calculation (GGA-PBE) on LaPm6Nd3Dy2 after structural relaxation.

Cell: 6.3227 6.3227 12.1280 Å, 95.00 95.00 119.99°
With the nearest neighbours (Å) after each atom.
Positions (direct):
Dy  0.3335  0.6665  0.0000  6 Pm 3.64, 3 Dy 3.65, 3 La 3.65
Dy  0.6665  0.3335  0.0000  6 Pm 3.64, 3 Dy 3.65, 3 La 3.65
Pm  0.7488  0.7488  0.2488  2 Dy 3.64, 6 Pm 3.64-3.66, 1 La 3.65, 3 Nd 3.67
Pm  0.5822  0.9167  0.7515  2 Dy 3.64, 6 Pm 3.64-3.66, 1 La 3.64, 3 Nd 3.66-3.67
Pm  0.0833  0.4178  0.2485  2 Dy 3.64, 6 Pm 3.64-3.66, 1 La 3.64, 3 Nd 3.66-3.67
Pm  0.2512  0.2512  0.7512  2 Dy 3.64, 6 Pm 3.64-3.66, 1 La 3.65, 3 Nd 3.67
Pm  0.9167  0.5822  0.7515  2 Dy 3.64, 6 Pm 3.64-3.66, 1 La 3.64, 3 Nd 3.66-3.67
Pm  0.4178  0.0833  0.2485  2 Dy 3.64, 6 Pm 3.64-3.66, 1 La 3.64, 3 Nd 3.66-3.67
Nd  0.5000  0.5000  0.5000  6 Nd 3.64-3.65, 6 Pm 3.67
Nd  0.8328  0.1672  0.5000  6 Nd 3.64-3.66, 6 Pm 3.66-3.67
Nd  0.1672  0.8328  0.5000  6 Nd 3.64-3.66, 6 Pm 3.66-3.67
La  0.0000  0.0000  0.0000  6 Pm 3.64-3.65, 6 Dy 3.65

- Electronic total energy: -4.728 eV per atom
- Formation energy from the elements: 0.02 eV/atom

=====

(3)
VASP calculation (GGA-PBE) on LaPm2Nd4Dy after structural relaxation.

Cell: 3.6777 12.1892 6.3233 Å, 79.74 90.00 90.00°
With the nearest neighbours (Å) after each atom.
Positions (direct):
Pm  0.0000  0.0000  0.0000  6 Pm 3.66-3.68, 6 Nd 3.67-3.68
Pm  0.5000  0.0000  0.5000  6 Nd 3.65-3.69, 6 Pm 3.66-3.68
Nd  0.0000  0.2490  0.2520  6 Nd 3.65-3.68, 3 Pm 3.65-3.67, 1 Dy 3.68, 2 La 3.68
Nd  0.5000  0.2509  0.7503  6 Nd 3.65-3.68, 2 Dy 3.66, 1 La 3.66, 3 Pm 3.68-3.69
Nd  0.0000  0.7510  0.7480  6 Nd 3.65-3.68, 3 Pm 3.65-3.67, 1 Dy 3.68, 2 La 3.68
Nd  0.5000  0.7491  0.2497  6 Nd 3.65-3.68, 2 Dy 3.66, 1 La 3.66, 3 Pm 3.68-3.69
Dy  0.0000  0.5000  0.5000  4 La 3.66, 6 Nd 3.66-3.68, 2 Dy 3.68
La  0.5000  0.5000  0.0000  4 Dy 3.66, 6 Nd 3.66-3.68, 2 La 3.68

- Electronic total energy: -4.746 eV per atom
- Formation energy from the elements: 0.02 eV/atom

=====

(4)
VASP calculation (GGA-PBE) on LaPm6Nd2Dy after structural relaxation.

Cell: 9.9603 8.9905 8.9905 Å, 118.39 94.68 94.68°
With the nearest neighbours (Å) after each atom.
Positions (direct):
Dy  0.7500  0.0207  0.9793  4 Nd 3.39-3.44, 4 Pm 3.65-3.71
Dy  0.2500  0.9793  0.0207  4 Nd 3.39-3.44, 4 Pm 3.65-3.71
Pm  0.4440  0.2490  0.8803  6 Pm 3.46-3.86, 1 Nd 3.49, 1 Dy 3.71
Pm  0.1215  0.7073  0.4997  4 Pm 3.32-3.71, 3 Nd 3.35-3.53, 2 La 3.52-3.67
Pm  0.3785  0.5003  0.2927  4 Pm 3.32-3.71, 3 Nd 3.35-3.53, 2 La 3.52-3.67
Pm  0.8785  0.2927  0.5003  4 Pm 3.32-3.71, 3 Nd 3.35-3.53, 2 La 3.52-3.67
Pm  0.3161  0.9734  0.4227  4 Pm 3.32-3.71, 1 Nd 3.48, 1 La 3.57, 1 Dy 3.65
Pm  0.5560  0.7510  0.1197  6 Pm 3.46-3.86, 1 Nd 3.49, 1 Dy 3.71
Pm  0.6215  0.4997  0.7073  4 Pm 3.32-3.71, 3 Nd 3.35-3.53, 2 La 3.52-3.67
Pm  0.6839  0.0266  0.5773  4 Pm 3.32-3.71, 1 Nd 3.48, 1 La 3.57, 1 Dy 3.65
Pm  0.8161  0.4227  0.9734  4 Pm 3.32-3.71, 1 Nd 3.48, 1 La 3.57, 1 Dy 3.65
Pm  0.1839  0.5773  0.0266  4 Pm 3.32-3.71, 1 Nd 3.48, 1 La 3.57, 1 Dy 3.65
Pm  0.9440  0.8803  0.2490  6 Pm 3.46-3.86, 1 Nd 3.49, 1 Dy 3.71
Pm  0.0560  0.1197  0.7510  6 Pm 3.46-3.86, 1 Nd 3.49, 1 Dy 3.71
Nd  0.5416  0.1881  0.2898  5 Pm 3.35-3.53, 2 Dy 3.39-3.44, 1 La 3.69
Nd  0.0416  0.2898  0.1881  5 Pm 3.35-3.53, 2 Dy 3.39-3.44, 1 La 3.69
Nd  0.4584  0.8119  0.7102  5 Pm 3.35-3.53, 2 Dy 3.39-3.44, 1 La 3.69
Nd  0.9584  0.7102  0.8119  5 Pm 3.35-3.53, 2 Dy 3.39-3.44, 1 La 3.69
La  0.7500  0.5955  0.4045  8 Pm 3.52-3.91, 2 Nd 3.69
La  0.2500  0.4045  0.5955  8 Pm 3.52-3.91, 2 Nd 3.69

- Electronic total energy: -4.640 eV per atom
- Formation energy from the elements: 0.12 eV/atom